# 1
Zr3Rh4 after structural relaxation, computed with GGA-PBEsol.

Structure (CIF):
```
data_Zr3Rh4
_chemical_formula_sum 'Zr6 Rh8'
_symmetry_space_group_name_H-M 'P 1'
_symmetry_Int_Tables_number 1
_cell_length_a 7.2056
_cell_length_b 7.2056
_cell_length_c 7.2056
_cell_angle_alpha 113.71
_cell_angle_beta 113.71
_cell_angle_gamma 113.71
loop_
_symmetry_equiv_pos_as_xyz
'x,y,z'
loop_
_atom_site_label
_atom_site_type_symbol
_atom_site_fract_x
_atom_site_fract_y
_atom_site_fract_z
Zr1 Zr 0.0072 0.2631 0.4006
Zr2 Zr 0.2631 0.4006 0.0072
Zr3 Zr 0.4006 0.0072 0.2631
Zr4 Zr 0.5994 0.9928 0.7369
Zr5 Zr 0.7369 0.5994 0.9928
Zr6 Zr 0.9928 0.7369 0.5994
Rh1 Rh 0.0000 0.0000 0.0000
Rh2 Rh 0.0799 0.5413 0.2433
Rh3 Rh 0.2433 0.0799 0.5413
Rh4 Rh 0.4587 0.7567 0.9201
Rh5 Rh 0.5000 0.5000 0.5000
Rh6 Rh 0.5413 0.2433 0.0799
Rh7 Rh 0.7567 0.9201 0.4587
Rh8 Rh 0.9201 0.4587 0.7567
```

Crystal system: trigonal
Magnetic moment in μB/f.u.: 0.00
Final energy in eV for the cell shown: -130.9
ΔH_f (0 K) in eV/f.u.: -5.65

# 2
Zr3Rh after structural relaxation, computed with GGA-PBEsol.

Structure (CIF):
```
data_Zr3Rh
_chemical_formula_sum 'Zr12 Rh4'
_symmetry_space_group_name_H-M 'P 1'
_symmetry_Int_Tables_number 1
_cell_length_a 6.0828
_cell_length_b 9.2452
_cell_length_c 5.7253
_cell_angle_alpha 90.00
_cell_angle_beta 90.00
_cell_angle_gamma 90.00
loop_
_symmetry_equiv_pos_as_xyz
'x,y,z'
loop_
_atom_site_label
_atom_site_type_symbol
_atom_site_fract_x
_atom_site_fract_y
_atom_site_fract_z
Zr1 Zr 0.0378 0.2500 0.1670
Zr2 Zr 0.2101 0.0498 0.6240
Zr3 Zr 0.2101 0.4502 0.6240
Zr4 Zr 0.2899 0.5498 0.1240
Zr5 Zr 0.2899 0.9502 0.1240
Zr6 Zr 0.4622 0.7500 0.6670
Zr7 Zr 0.5378 0.2500 0.3330
Zr8 Zr 0.7101 0.0498 0.8760
Zr9 Zr 0.7101 0.4502 0.8760
Zr10 Zr 0.7899 0.5498 0.3760
Zr11 Zr 0.7899 0.9502 0.3760
Zr12 Zr 0.9622 0.7500 0.8330
Rh1 Rh 0.1090 0.7500 0.3779
Rh2 Rh 0.3910 0.2500 0.8779
Rh3 Rh 0.6090 0.7500 0.1221
Rh4 Rh 0.8910 0.2500 0.6221
```

Crystal system: orthorhombic
Magnetic moment in μB/f.u.: 0.00
Final energy in eV for the cell shown: -147.8
ΔH_f (0 K) in eV/f.u.: -1.54

# 3
Zr5Rh after structural relaxation, computed with GGA-PBEsol.

Structure (CIF):
```
data_Zr5Rh
_chemical_formula_sum 'Zr5 Rh1'
_symmetry_space_group_name_H-M 'P 1'
_symmetry_Int_Tables_number 1
_cell_length_a 3.2528
_cell_length_b 3.2528
_cell_length_c 11.5495
_cell_angle_alpha 90.00
_cell_angle_beta 90.00
_cell_angle_gamma 90.00
loop_
_symmetry_equiv_pos_as_xyz
'x,y,z'
loop_
_atom_site_label
_atom_site_type_symbol
_atom_site_fract_x
_atom_site_fract_y
_atom_site_fract_z
Zr1 Zr 0.0000 0.0000 0.0000
Zr2 Zr 0.0000 0.0000 0.3610
Zr3 Zr 0.0000 0.0000 0.6390
Zr4 Zr 0.5000 0.5000 0.1837
Zr5 Zr 0.5000 0.5000 0.8163
Rh1 Rh 0.5000 0.5000 0.5000
```

ΔE to the lowest computed polymorph in meV/atom: 0
Crystal system: tetragonal
Magnetic moment in μB/f.u.: 0.00
Final energy in eV for the cell shown: -55.2
ΔH_f (0 K) in eV/f.u.: -1.57

# 4
Zr3Rh after structural relaxation, computed with GGA-PBEsol.

Structure (CIF):
```
data_Zr3Rh
_chemical_formula_sum 'Zr6 Rh2'
_symmetry_space_group_name_H-M 'P 1'
_symmetry_Int_Tables_number 1
_cell_length_a 3.3333
_cell_length_b 4.7805
_cell_length_c 9.6317
_cell_angle_alpha 90.00
_cell_angle_beta 90.00
_cell_angle_gamma 90.00
loop_
_symmetry_equiv_pos_as_xyz
'x,y,z'
loop_
_atom_site_label
_atom_site_type_symbol
_atom_site_fract_x
_atom_site_fract_y
_atom_site_fract_z
Zr1 Zr 0.0000 0.0000 0.0000
Zr2 Zr 0.0000 0.5000 0.2325
Zr3 Zr 0.0000 0.5000 0.7675
Zr4 Zr 0.5000 0.0000 0.2675
Zr5 Zr 0.5000 0.0000 0.7325
Zr6 Zr 0.5000 0.5000 0.5000
Rh1 Rh 0.0000 0.0000 0.5000
Rh2 Rh 0.5000 0.5000 0.0000
```

Crystal system: orthorhombic
Magnetic moment in μB/f.u.: 0.00
Final energy in eV for the cell shown: -73.9
ΔH_f (0 K) in eV/f.u.: -1.54

# 5
ZrRh4 after structural relaxation, computed with GGA-PBEsol.

Structure (CIF):
```
data_ZrRh4
_chemical_formula_sum 'Zr2 Rh8'
_symmetry_space_group_name_H-M 'P 1'
_symmetry_Int_Tables_number 1
_cell_length_a 6.1189
_cell_length_b 6.1189
_cell_length_c 3.9253
_cell_angle_alpha 90.00
_cell_angle_beta 90.00
_cell_angle_gamma 90.00
loop_
_symmetry_equiv_pos_as_xyz
'x,y,z'
loop_
_atom_site_label
_atom_site_type_symbol
_atom_site_fract_x
_atom_site_fract_y
_atom_site_fract_z
Zr1 Zr 0.0000 0.0000 0.0000
Zr2 Zr 0.5000 0.5000 0.5000
Rh1 Rh 0.0998 0.3074 0.5000
Rh2 Rh 0.1926 0.5998 0.0000
Rh3 Rh 0.3074 0.9002 0.5000
Rh4 Rh 0.4002 0.1926 0.0000
Rh5 Rh 0.5998 0.8074 0.0000
Rh6 Rh 0.6926 0.0998 0.5000
Rh7 Rh 0.8074 0.4002 0.0000
Rh8 Rh 0.9002 0.6926 0.5000
```

ΔE to the lowest computed polymorph in meV/atom: 0
Crystal system: tetragonal
Magnetic moment in μB/f.u.: 0.00
Final energy in eV for the cell shown: -87.8
ΔH_f (0 K) in eV/f.u.: -2.25

# 6
ZrRh4 after structural relaxation, computed with GGA-PBEsol.

Structure (CIF):
```
data_ZrRh4
_chemical_formula_sum 'Zr2 Rh8'
_symmetry_space_group_name_H-M 'P 1'
_symmetry_Int_Tables_number 1
_cell_length_a 3.6144
_cell_length_b 3.6144
_cell_length_c 12.2485
_cell_angle_alpha 90.00
_cell_angle_beta 90.00
_cell_angle_gamma 90.00
loop_
_symmetry_equiv_pos_as_xyz
'x,y,z'
loop_
_atom_site_label
_atom_site_type_symbol
_atom_site_fract_x
_atom_site_fract_y
_atom_site_fract_z
Zr1 Zr 0.0000 0.0000 0.0000
Zr2 Zr 0.5000 0.5000 0.5000
Rh1 Rh 0.0000 0.0000 0.4004
Rh2 Rh 0.0000 0.0000 0.5996
Rh3 Rh 0.0000 0.5000 0.2500
Rh4 Rh 0.0000 0.5000 0.7500
Rh5 Rh 0.5000 0.0000 0.2500
Rh6 Rh 0.5000 0.0000 0.7500
Rh7 Rh 0.5000 0.5000 0.0996
Rh8 Rh 0.5000 0.5000 0.9004
```

ΔE to the lowest computed polymorph in meV/atom: 332
Crystal system: tetragonal
Magnetic moment in μB/f.u.: 0.00
Final energy in eV for the cell shown: -84.5
ΔH_f (0 K) in eV/f.u.: -0.59

# 7
Zr3Rh5 after structural relaxation, computed with GGA-PBEsol.

Structure (CIF):
```
data_Zr3Rh5
_chemical_formula_sum 'Zr6 Rh10'
_symmetry_space_group_name_H-M 'P 1'
_symmetry_Int_Tables_number 1
_cell_length_a 5.5374
_cell_length_b 5.5374
_cell_length_c 8.5835
_cell_angle_alpha 90.00
_cell_angle_beta 90.00
_cell_angle_gamma 77.34
loop_
_symmetry_equiv_pos_as_xyz
'x,y,z'
loop_
_atom_site_label
_atom_site_type_symbol
_atom_site_fract_x
_atom_site_fract_y
_atom_site_fract_z
Zr1 Zr 0.0649 0.9351 0.7500
Zr2 Zr 0.2911 0.2911 0.0000
Zr3 Zr 0.2911 0.2911 0.5000
Zr4 Zr 0.7089 0.7089 0.0000
Zr5 Zr 0.7089 0.7089 0.5000
Zr6 Zr 0.9351 0.0649 0.2500
Rh1 Rh 0.0065 0.5265 0.2500
Rh2 Rh 0.2125 0.7875 0.0263
Rh3 Rh 0.2125 0.7875 0.4737
Rh4 Rh 0.4735 0.9935 0.2500
Rh5 Rh 0.4861 0.5139 0.7500
Rh6 Rh 0.5139 0.4861 0.2500
Rh7 Rh 0.5265 0.0065 0.7500
Rh8 Rh 0.7875 0.2125 0.5263
Rh9 Rh 0.7875 0.2125 0.9737
Rh10 Rh 0.9935 0.4735 0.7500
```

Crystal system: orthorhombic
Magnetic moment in μB/f.u.: 0.00
Final energy in eV for the cell shown: -148.8
ΔH_f (0 K) in eV/f.u.: -6.42

# 8
Zr3Rh after structural relaxation, computed with GGA-PBEsol.

Structure (CIF):
```
data_Zr3Rh
_chemical_formula_sum 'Zr6 Rh2'
_symmetry_space_group_name_H-M 'P 1'
_symmetry_Int_Tables_number 1
_cell_length_a 3.1718
_cell_length_b 9.5528
_cell_length_c 5.2843
_cell_angle_alpha 90.00
_cell_angle_beta 90.00
_cell_angle_gamma 90.00
loop_
_symmetry_equiv_pos_as_xyz
'x,y,z'
loop_
_atom_site_label
_atom_site_type_symbol
_atom_site_fract_x
_atom_site_fract_y
_atom_site_fract_z
Zr1 Zr 0.0000 0.0000 0.0000
Zr2 Zr 0.0000 0.2093 0.4295
Zr3 Zr 0.0000 0.7907 0.4295
Zr4 Zr 0.5000 0.2907 0.9295
Zr5 Zr 0.5000 0.5000 0.5000
Zr6 Zr 0.5000 0.7093 0.9295
Rh1 Rh 0.0000 0.5000 0.0942
Rh2 Rh 0.5000 0.0000 0.5942
```

Crystal system: orthorhombic
Magnetic moment in μB/f.u.: 0.00
Final energy in eV for the cell shown: -73.6
ΔH_f (0 K) in eV/f.u.: -1.41

# 9
Zr5Rh after structural relaxation, computed with GGA-PBEsol.

Structure (CIF):
```
data_Zr5Rh
_chemical_formula_sum 'Zr10 Rh2'
_symmetry_space_group_name_H-M 'P 1'
_symmetry_Int_Tables_number 1
_cell_length_a 10.8030
_cell_length_b 3.3080
_cell_length_c 7.2068
_cell_angle_alpha 90.00
_cell_angle_beta 109.64
_cell_angle_gamma 90.00
loop_
_symmetry_equiv_pos_as_xyz
'x,y,z'
loop_
_atom_site_label
_atom_site_type_symbol
_atom_site_fract_x
_atom_site_fract_y
_atom_site_fract_z
Zr1 Zr 0.0000 0.0000 0.0000
Zr2 Zr 0.1494 0.5000 0.3521
Zr3 Zr 0.1688 0.5000 0.8150
Zr4 Zr 0.3312 0.0000 0.1850
Zr5 Zr 0.3506 0.0000 0.6479
Zr6 Zr 0.5000 0.5000 0.0000
Zr7 Zr 0.6494 0.0000 0.3521
Zr8 Zr 0.6688 0.0000 0.8150
Zr9 Zr 0.8312 0.5000 0.1850
Zr10 Zr 0.8506 0.5000 0.6479
Rh1 Rh 0.0000 0.0000 0.5000
Rh2 Rh 0.5000 0.5000 0.5000
```

ΔE to the lowest computed polymorph in meV/atom: 6
Crystal system: monoclinic
Magnetic moment in μB/f.u.: 0.00
Final energy in eV for the cell shown: -110.2
ΔH_f (0 K) in eV/f.u.: -1.53

# 10
Zr4Rh after structural relaxation, computed with GGA-PBEsol.

Structure (CIF):
```
data_Zr4Rh
_chemical_formula_sum 'Zr8 Rh2'
_symmetry_space_group_name_H-M 'P 1'
_symmetry_Int_Tables_number 1
_cell_length_a 3.6732
_cell_length_b 3.6732
_cell_length_c 15.9760
_cell_angle_alpha 90.00
_cell_angle_beta 90.00
_cell_angle_gamma 90.00
loop_
_symmetry_equiv_pos_as_xyz
'x,y,z'
loop_
_atom_site_label
_atom_site_type_symbol
_atom_site_fract_x
_atom_site_fract_y
_atom_site_fract_z
Zr1 Zr 0.0000 0.0000 0.0836
Zr2 Zr 0.0000 0.0000 0.9164
Zr3 Zr 0.0000 0.5000 0.2500
Zr4 Zr 0.0000 0.5000 0.7500
Zr5 Zr 0.5000 0.0000 0.2500
Zr6 Zr 0.5000 0.0000 0.7500
Zr7 Zr 0.5000 0.5000 0.4164
Zr8 Zr 0.5000 0.5000 0.5836
Rh1 Rh 0.0000 0.0000 0.5000
Rh2 Rh 0.5000 0.5000 0.0000
```

ΔE to the lowest computed polymorph in meV/atom: 811
Crystal system: tetragonal
Magnetic moment in μB/f.u.: 0.00
Final energy in eV for the cell shown: -84.1
ΔH_f (0 K) in eV/f.u.: 2.43